# 1
Computed, not measured: InNi2Mo at its PBEsol-relaxed geometry at the SCAN level of DFT.

Raw total energy, eV per atom: -24.939
Crystal system: orthorhombic
Space-group type: No. 44

The structure in POSCAR format:
```
InNi2Mo
1.0
-1.366 2.221 4.558
1.366 -2.221 4.558
1.366 2.221 -4.558
In Ni Mo
1 2 1
Direct
0.000 0.000 0.000
0.523 0.523 0.000
0.747 0.247 0.500
0.279 0.779 0.500
```



# 2
Computed, not measured: InNi6Mo at its PBEsol-relaxed geometry at the SCAN level of DFT.

Raw total energy, eV per atom: -20.662
Crystal system: orthorhombic
Space-group type: No. 65

The structure in POSCAR format:
```
InNi6Mo
1.0
3.625 -5.125 0.000
3.625 5.125 0.000
0.000 0.000 10.273
In Ni Mo
4 24 4
Direct
0.000 0.000 0.249
0.000 0.000 0.751
0.247 0.753 0.500
0.753 0.247 0.500
0.000 0.000 0.000
0.000 0.000 0.500
0.129 0.385 0.120
0.129 0.385 0.880
0.136 0.381 0.369
0.136 0.381 0.631
0.255 0.745 0.241
0.255 0.745 0.759
0.381 0.136 0.369
0.381 0.136 0.631
0.385 0.129 0.120
0.385 0.129 0.880
0.500 0.500 0.000
0.500 0.500 0.500
0.615 0.871 0.120
0.615 0.871 0.880
0.619 0.864 0.369
0.619 0.864 0.631
0.745 0.255 0.241
0.745 0.255 0.759
0.864 0.619 0.369
0.864 0.619 0.631
0.871 0.615 0.120
0.871 0.615 0.880
0.251 0.749 0.000
0.500 0.500 0.254
0.500 0.500 0.746
0.749 0.251 0.000
```



# 3
Computed, not measured: InNi2Mo at its PBEsol-relaxed geometry at the SCAN level of DFT.

Raw total energy, eV per atom: -24.857
Crystal system: tetragonal
Space-group type: No. 119

The structure in POSCAR format:
```
InNi2Mo
1.0
-1.903 1.903 3.840
1.903 -1.903 3.840
1.903 1.903 -3.840
In Ni Mo
1 2 1
Direct
0.000 0.000 0.000
0.250 0.750 0.500
0.500 0.500 0.000
0.750 0.250 0.500
```



# 4
Computed, not measured: InMoO2 at its PBEsol-relaxed geometry at the SCAN level of DFT.

Raw total energy, eV per atom: -21.539
Crystal system: trigonal
Space-group type: No. 166

The structure in POSCAR format:
```
InMoO2
1.0
1.430 0.826 7.234
-1.430 0.826 7.234
0.000 -1.651 7.234
In Mo O
1 1 2
Direct
0.000 0.000 0.000
0.500 0.500 0.500
0.107 0.107 0.107
0.893 0.893 0.893
```



# 5
Computed, not measured: InMoOs2O at its PBEsol-relaxed geometry at the SCAN level of DFT.

Raw total energy, eV per atom: -43.079
Crystal system: tetragonal
Space-group type: No. 123

The structure in POSCAR format:
```
InMoOs2O
1.0
4.160 0.000 0.000
0.000 4.160 0.000
0.000 0.000 4.060
In Mo Os O
1 1 2 1
Direct
0.000 0.000 0.000
0.500 0.500 0.000
0.000 0.500 0.500
0.500 0.000 0.500
0.500 0.500 0.500
```



# 6
Computed, not measured: RbInMo2O8 at its PBEsol-relaxed geometry at the SCAN level of DFT.

Raw total energy, eV per atom: -16.613
Crystal system: trigonal
Space-group type: No. 164

The structure in POSCAR format:
```
RbInMo2O8
1.0
5.847 0.000 0.000
-2.924 5.064 0.000
0.000 0.000 7.581
Rb In Mo O
1 1 2 8
Direct
0.000 0.000 0.000
0.000 0.000 0.500
0.333 0.667 0.744
0.667 0.333 0.256
0.167 0.333 0.672
0.167 0.833 0.672
0.333 0.167 0.328
0.333 0.667 0.971
0.667 0.333 0.029
0.667 0.833 0.672
0.833 0.167 0.328
0.833 0.667 0.328
```